Material: RbCaAlS3
Method: DFT, PBE-GGA
State: relaxed

Results
Total magnetization in μB per cell: 0.00
Uncorrected formation energy in kJ/mol of formula units: -729

a b c (Å): 4.800 8.162 8.675
angles (deg): 104.01 90.00 107.10
Fractional coordinates of all 12 atoms:
Ca1 0.648 0.296 0.567
S1 0.864 0.727 0.242
S2 0.495 0.990 0.710
Al1 0.987 0.974 0.708
S3 0.505 0.010 0.290
S4 0.136 0.273 0.758
Al2 0.013 0.026 0.292
S5 0.838 0.676 0.653
S6 0.162 0.324 0.347
Rb1 0.349 0.698 0.938
Ca2 0.352 0.704 0.433
Rb2 0.651 0.302 0.062